1.
LiNi2BiP after structural relaxation, computed with PBE.

```
LiNi2BiP
1.0
4.221 0.000 0.000
0.000 5.529 0.000
0.000 0.000 4.221
Bi Ni Li P
1 2 1 1
Cartesian
0.000 2.765 0.000
2.110 0.000 0.000
0.000 0.000 2.110
2.110 2.765 2.110
0.000 0.000 0.000
```

Properties
- space-group type = P4/mmm, No. 123
- ΔH_f (0 K) (meV per atom) = 118
- magnetic moment (μB/f.u.) = 0.00

2.
LiNiBiPb after structural relaxation, computed with PBE.

```
LiNiBiPb
1.0
-0.183 -0.629 -4.842
-1.131 -4.377 -1.854
-4.302 -0.678 -2.215
Pb Li Bi Ni
1 1 1 1
Cartesian
-2.808 -2.842 -4.456
-4.212 -4.263 -6.684
0.000 0.000 0.000
-1.404 -1.421 -2.228
```

Properties
- space-group type = F-43m, No. 216
- ΔH_f (0 K) (meV per atom) = -31
- magnetic moment (μB/f.u.) = 0.00